No. 1
Below is an optimized crystal structure of AlPd3Rh, with properties calculated at the PBE level.

Output
- mass density (g/cm3) = 8.2
- calculated formation energy (eV/f.u.) = 2.47
- E (eV per atom) = -4.84
- excess energy over the best structure of this formula in the dataset (eV/f.u.) = 0.00

abc: 4.4885 4.4885 4.4885
angles: 90.00 90.00 90.00
With the nearest neighbours (Å) after each atom.
Space group Pm-3m (No. 221)
One atom of each set of equivalent atoms:
Al1 0.0000 0.0000 0.0000  6 Pd 2.24
Pd1 0.0000 0.0000 0.5000  2 Al 2.24
Rh1 0.5000 0.5000 0.5000  12 Pd 3.17

---

No. 2
Below is an optimized crystal structure of Al2PdRh, with properties calculated at the PBE level.

Output
- mass density (g/cm3) = 7.8
- calculated formation energy (eV/f.u.) = -3.84
- E (eV per atom) = -5.97

abc: 2.9680 2.9680 6.3824
angles: 90.00 90.00 90.00
With the nearest neighbours (Å) after each atom.
Space group P4/mmm (No. 123)
One atom of each set of equivalent atoms:
Al1 0.0000 0.0000 0.2417  4 Rh 2.60, 4 Pd 2.67
Pd1 0.5000 0.5000 0.5000  8 Al 2.67, 4 Pd 2.97
Rh1 0.5000 0.5000 0.0000  8 Al 2.60

---

No. 3
Below is an optimized crystal structure of AlPdRh2, with properties calculated at the PBE level.

Output
- mass density (g/cm3) = 9.8
- calculated formation energy (eV/f.u.) = -1.84
- E (eV per atom) = -6.37

abc: 3.9275 3.9275 3.7125
angles: 90.00 90.00 90.00
With the nearest neighbours (Å) after each atom.
Space group P4/mmm (No. 123)
One atom of each set of equivalent atoms:
Al1 0.0000 0.0000 0.0000  8 Rh 2.70, 4 Pd 2.78
Pd1 0.5000 0.5000 0.0000  8 Rh 2.70, 4 Al 2.78
Rh1 0.0000 0.5000 0.5000  4 Al 2.70, 4 Pd 2.70, 4 Rh 2.78

---

No. 4
Below is an optimized crystal structure of Al2PdRh, with properties calculated at the PBE level.

Output
- mass density (g/cm3) = 6.9
- calculated formation energy (eV/f.u.) = -1.85
- E (eV per atom) = -5.47

abc: 6.6477 6.6477 5.7152
angles: 90.00 90.00 90.00
With the nearest neighbours (Å) after each atom.
Space group I-42d (No. 122)
One atom of each set of equivalent atoms:
Al1 0.2459 0.2500 0.1250  2 Rh 2.44, 2 Pd 2.48
Pd1 0.0000 0.0000 0.5000  4 Al 2.48
Rh1 0.0000 0.0000 0.0000  4 Al 2.44

---

The highest calculated formation energy belongs to which entry? AlPd3Rh

---

Which value of calculated formation energy does entry 3 give? -1.84 eV/f.u.